DFT (SCAN) results for a PBEsol-optimized structure of TcHgBr2. Values from VASP.

```
&SYSTEM
  ibrav = 0, nat = 4, ntyp = 3
/
ATOMIC_SPECIES
Hg 200.59 Hg.upf
Br 79.90 Br.upf
Tc 98.00 Tc.upf
CELL_PARAMETERS angstrom
3.160 0.000 0.000
-1.580 5.188 -0.081
0.000 -2.757 6.333
ATOMIC_POSITIONS crystal
Hg 0.564 0.127 0.625
Br 0.904 0.807 0.935
Br 0.733 0.466 0.315
Tc 0.300 0.599 0.625
```

As for the symmetry: No. 8.


DFT (SCAN) results for a PBEsol-optimized structure of TcHgBr. Values from VASP.

```
&SYSTEM
  ibrav = 0, nat = 3, ntyp = 3
/
ATOMIC_SPECIES
Hg 200.59 Hg.upf
Br 79.90 Br.upf
Tc 98.00 Tc.upf
CELL_PARAMETERS angstrom
-2.519 -1.678 0.277
0.963 -1.815 -2.239
3.702 -1.942 5.229
ATOMIC_POSITIONS crystal
Hg 0.691 0.691 0.381
Br 0.957 0.957 0.915
Tc 0.352 0.352 0.704
```

As for the symmetry: No. 107.


DFT (SCAN) results for a PBEsol-optimized structure of TcHgBr2. Values from VASP.

```
&SYSTEM
  ibrav = 0, nat = 4, ntyp = 3
/
ATOMIC_SPECIES
Hg 200.59 Hg.upf
Br 79.90 Br.upf
Tc 98.00 Tc.upf
CELL_PARAMETERS angstrom
-2.796 -2.038 0.548
0.270 -3.475 -0.352
1.464 -2.574 9.092
ATOMIC_POSITIONS crystal
Hg 0.500 0.500 0.500
Br 0.279 0.279 0.164
Br 0.721 0.721 0.836
Tc 0.000 0.000 0.000
```

As for the symmetry: No. 166.


Number 1: Fermi-level density of states 1.6 states/eV/cell, total energy -142.01 eV per cell. Number 2: Fermi-level density of states 1.9 states/eV/cell, total energy -120.72 eV per cell. Number 3: Fermi-level density of states 1.5 states/eV/cell, total energy -142.16 eV per cell.